Entry from Alexandria via LeMat-Bulk: a crystal of InFeW2 relaxed with PBEsol (SCAN).

Summary:
E_form = 0.581 eV/atom
Total magnetic moment = 6.71 Bohr magnetons per cell
DOS(E_F) = 2.99 states/eV/f.u.

Unit cell a=2.8164 b=2.8164 c=27.0801 alpha=90.00 beta=90.00 gamma=120.00
With the nearest neighbours (Å) after each atom.
Space group R-3m (No. 166, hexagonal axes)
Inequivalent atoms, fractional coordinates:
1 In 0.0000 0.0000 0.0000 x3  6 In 2.82, 6 W 2.98
2 Fe 0.0000 0.0000 0.5000 x3  6 W 2.59, 6 Fe 2.82
3 W 0.0000 0.0000 0.2411 x6  3 Fe 2.59, 6 W 2.82

***

Entry from Alexandria via LeMat-Bulk: a crystal of In2FeW relaxed with PBEsol (SCAN).

Summary:
E_form = 0.355 eV/atom
Total magnetic moment = 1.27 Bohr magnetons per cell
DOS(E_F) = 2.31 states/eV/f.u.
E above lowest polymorph = 0.0 meV per atom

Unit cell a=2.9464 b=2.9464 c=8.0853 alpha=90.00 beta=90.00 gamma=90.00
With the nearest neighbours (Å) after each atom.
Space group P4mm (No. 99)
Inequivalent atoms, fractional coordinates:
1 In 0.0000 0.0000 0.0000 x1  4 Fe 2.78, 4 In 2.95
2 In 0.5000 0.5000 0.3443 x1  4 In 2.95, 4 W 2.99
3 Fe 0.5000 0.5000 0.7717 x1  4 W 2.46
4 W 0.0000 0.0000 0.6092 x1  4 Fe 2.46

***

Entry from Alexandria via LeMat-Bulk: a crystal of YIn2Fe relaxed with PBEsol (SCAN).

Summary:
E_form = -0.071 eV/atom
Total magnetic moment = 4.31 Bohr magnetons per cell
DOS(E_F) = 2.34 states/eV/f.u.

Unit cell a=4.0890 b=3.7121 c=11.3818 alpha=90.00 beta=90.00 gamma=90.00
With the nearest neighbours (Å) after each atom.
Space group Amm2 (No. 38)
Inequivalent atoms, fractional coordinates:
1 Y 0.0000 0.0000 0.0000 x2  4 Fe 2.90, 3 In 3.13-3.16
2 In 0.0000 0.0000 0.7246 x2  2 Fe 2.64
3 In 0.5000 0.0000 0.3356 x2  1 Fe 2.76, 4 In 3.04
4 Fe 0.5000 0.0000 0.5779 x2  3 In 2.64-2.76, 4 Y 2.90

***

Entry from Alexandria via LeMat-Bulk: a crystal of YIn2Fe relaxed with PBEsol (SCAN).

Summary:
E_form = -0.171 eV/atom
Total magnetic moment = 3.96 Bohr magnetons per cell
DOS(E_F) = 2.21 states/eV/f.u.

Unit cell a=8.7127 b=3.9079 c=5.3709 alpha=90.00 beta=111.28 gamma=90.00
With the nearest neighbours (Å) after each atom.
Space group C2/m (No. 12)
Inequivalent atoms, fractional coordinates:
1 Y 0.0000 0.0000 0.0000 x2  6 In 3.03-3.10, 4 Fe 3.32
2 In 0.2232 0.0000 0.6798 x4  3 Fe 2.68-2.91, 2 In 2.90
3 Fe 0.0000 0.5000 0.5000 x2  6 In 2.68-2.91